[1]
The following is a DFT calculation (PBE) of an optimized crystal structure of CaSc3Hg.

Summary:
Space group = No. 221
ΔE_f = 0.24 eV per atom
E above lowest polymorph = 0.000 eV per atom

Cell: 5.4008 5.4008 5.4008 Å, 90.00 90.00 90.00°
Closest atoms and distances in Å follow each position.
Positions (direct):
Ca: 0.5000 0.5000 0.5000  12 Sc 3.82
Sc: 0.0000 0.5000 0.0000  2 Hg 2.70
Hg: 0.0000 0.0000 0.0000  6 Sc 2.70
Sc: 0.0000 0.0000 0.5000  2 Hg 2.70
Sc: 0.5000 0.0000 0.0000  2 Hg 2.70

---

[2]
The following is a DFT calculation (PBE) of an optimized crystal structure of Tl3CdNi.

Summary:
Space group = No. 221
ΔE_f = 0.13 eV per atom
E above lowest polymorph = 0.000 eV per atom

Cell: 5.1553 5.1553 5.1553 Å, 90.00 90.00 90.00°
Closest atoms and distances in Å follow each position.
Positions (direct):
Tl: 0.0000 0.0000 0.5000  2 Ni 2.58
Tl: 0.0000 0.5000 0.0000  2 Ni 2.58
Ni: 0.0000 0.0000 0.0000  6 Tl 2.58
Cd: 0.5000 0.5000 0.5000  12 Tl 3.65
Tl: 0.5000 0.0000 0.0000  2 Ni 2.58

---

[3]
The following is a DFT calculation (PBE) of an optimized crystal structure of Mn2SiNi.

Summary:
Space group = No. 47
Formation energy from raw total energies = -197.5 meV/atom

Cell: 3.5209 2.6115 5.7059 Å, 62.81 90.00 90.00°
Closest atoms and distances in Å follow each position.
Positions (direct):
Ni: 0.5000 0.2500 0.2500  2 Si 2.54, 8 Mn 2.54, 2 Ni 2.61
Mn: 0.0000 0.4959 0.5030  4 Mn 2.51-2.61, 4 Si 2.52-2.53, 4 Ni 2.54
Si: 0.5000 0.7500 0.7500  8 Mn 2.52-2.53, 2 Ni 2.54, 2 Si 2.61
Mn: 0.0000 0.0041 0.9970  4 Mn 2.51-2.61, 4 Si 2.52-2.53, 4 Ni 2.54

---

[4]
The following is a DFT calculation (PBE) of an optimized crystal structure of Sr3Li2Ga9.

Summary:
Space group = No. 71
ΔE_f = -0.44 eV per atom

Cell: 4.5196 8.6344 8.6344 Å, 69.60 74.83 74.83°
Closest atoms and distances in Å follow each position.
Positions (direct):
Ga: 0.1437 0.5799 0.1327  4 Ga 2.66-2.93
Sr: 0.6952 0.3048 0.3048  14 Ga 3.23-3.61, 2 Li 3.25
Ga: 0.6619 0.9746 0.7016  4 Ga 2.66-2.75, 1 Li 2.75
Ga: 0.3381 0.2984 0.0254  4 Ga 2.66-2.75, 1 Li 2.75
Li: 0.5000 0.6938 0.3062  8 Ga 2.75-2.99
Sr: 0.3048 0.6952 0.6952  14 Ga 3.23-3.61, 2 Li 3.25
Ga: 0.1437 0.1327 0.5799  4 Ga 2.66-2.93
Sr: 0.0000 0.0000 0.0000  12 Ga 3.34-3.41
Ga: 0.6619 0.7016 0.9746  4 Ga 2.66-2.75, 1 Li 2.75
Ga: 0.8563 0.4201 0.8673  4 Ga 2.66-2.93
Ga: 0.0000 0.5000 0.5000  4 Ga 2.93, 4 Li 2.96
Ga: 0.8563 0.8673 0.4201  4 Ga 2.66-2.93
Ga: 0.3381 0.0254 0.2984  4 Ga 2.66-2.75, 1 Li 2.75
Li: 0.5000 0.3062 0.6938  8 Ga 2.75-2.99

---

[5]
The following is a DFT calculation (PBE) of an optimized crystal structure of CaTm3Rh8.

Summary:
Space group = No. 156
ΔE_f = -0.67 eV per atom

Cell: 5.3073 5.3073 8.6974 Å, 90.00 90.00 120.00°
Closest atoms and distances in Å follow each position.
Positions (direct):
Rh: 0.6716 0.8358 0.2477  6 Rh 2.61-2.69
Rh: 0.3333 0.6667 0.5001  6 Rh 2.69-2.70
Tm: 0.6667 0.3333 0.4367  12 Rh 3.11-3.14, 1 Tm 3.21, 3 Ca 3.26
Rh: 0.1642 0.3284 0.2477  6 Rh 2.61-2.69
Rh: 0.3333 0.6667 0.0001  6 Rh 2.65-2.66
Rh: 0.5026 0.0051 0.7532  6 Rh 2.61-2.70
Tm: 0.0000 0.0000 0.9283  12 Rh 3.06-3.16, 1 Ca 3.17, 3 Tm 3.30
Rh: 0.5026 0.4974 0.7532  6 Rh 2.61-2.70
Ca: 0.0000 0.0000 0.5643  12 Rh 3.11-3.14, 4 Tm 3.17-3.26
Tm: 0.6667 0.3333 0.0678  12 Rh 3.08-3.12, 4 Tm 3.21-3.30
Rh: 0.9949 0.4974 0.7532  6 Rh 2.61-2.70
Rh: 0.1642 0.8358 0.2477  6 Rh 2.61-2.69

---

[6]
The following is a DFT calculation (PBE) of an optimized crystal structure of Tb2Pm6Y3Mg.

Summary:
Space group = No. 12
ΔE_f = 0.02 eV per atom

Cell: 6.2292 6.2292 11.7999 Å, 95.05 95.05 120.02°
Closest atoms and distances in Å follow each position.
Positions (direct):
Pm: 0.2503 0.2503 0.7508  1 Mg 3.56, 2 Tb 3.56, 3 Y 3.57-3.58, 6 Pm 3.59-3.60
Pm: 0.4146 0.0822 0.2482  1 Mg 3.55, 2 Tb 3.55-3.56, 3 Y 3.58-3.59, 6 Pm 3.59-3.60
Y: 0.5000 0.5000 0.5000  6 Pm 3.58-3.59, 6 Y 3.59-3.60
Y: 0.8338 0.1662 0.5000  6 Pm 3.57-3.59, 6 Y 3.59-3.60
Pm: 0.5854 0.9178 0.7518  1 Mg 3.55, 2 Tb 3.55-3.56, 3 Y 3.58-3.59, 6 Pm 3.59-3.60
Pm: 0.0822 0.4146 0.2482  1 Mg 3.55, 2 Tb 3.55-3.56, 3 Y 3.58-3.59, 6 Pm 3.59-3.60
Pm: 0.9178 0.5854 0.7518  1 Mg 3.55, 2 Tb 3.55-3.56, 3 Y 3.58-3.59, 6 Pm 3.59-3.60
Y: 0.1662 0.8338 0.5000  6 Pm 3.57-3.59, 6 Y 3.59-3.60
Tb: 0.3332 0.6668 0.0000  6 Pm 3.55-3.56, 3 Tb 3.59-3.60, 3 Mg 3.60
Pm: 0.7497 0.7497 0.2492  1 Mg 3.56, 2 Tb 3.56, 3 Y 3.57-3.58, 6 Pm 3.59-3.60
Mg: 0.0000 0.0000 0.0000  6 Pm 3.55-3.56, 6 Tb 3.60
Tb: 0.6668 0.3332 0.0000  6 Pm 3.55-3.56, 3 Tb 3.59-3.60, 3 Mg 3.60

---

[7]
The following is a DFT calculation (PBE) of an optimized crystal structure of CdAg2Pd.

Summary:
Space group = No. 123
ΔE_f = -0.17 eV per atom

Cell: 4.1872 4.1054 4.1054 Å, 90.00 90.00 90.00°
Closest atoms and distances in Å follow each position.
Positions (direct):
Pd: 0.5000 0.5000 0.5000  4 Cd 2.90, 8 Ag 2.93
Ag: 0.0000 0.5000 0.0000  4 Ag 2.90, 4 Pd 2.93, 4 Cd 2.93
Ag: 0.0000 0.0000 0.5000  4 Ag 2.90, 4 Pd 2.93, 4 Cd 2.93
Cd: 0.5000 0.0000 0.0000  4 Pd 2.90, 8 Ag 2.93

---

[8]
The following is a DFT calculation (PBE) of an optimized crystal structure of BaTa3Cr.

Summary:
Space group = No. 221
ΔE_f = 1.11 eV per atom
E above lowest polymorph = 0.000 eV per atom

Cell: 4.8542 4.8542 4.8542 Å, 90.00 90.00 90.00°
Closest atoms and distances in Å follow each position.
Positions (direct):
Ta: 0.0000 0.5000 0.0000  2 Cr 2.43
Cr: 0.0000 0.0000 0.0000  6 Ta 2.43
Ta: 0.5000 0.0000 0.0000  2 Cr 2.43
Ba: 0.5000 0.5000 0.5000  12 Ta 3.43
Ta: 0.0000 0.0000 0.5000  2 Cr 2.43

---

[9]
The following is a DFT calculation (PBE) of an optimized crystal structure of Ho8ErHg2.

Summary:
Space group = No. 12
ΔE_f = -0.05 eV per atom

Cell: 5.4778 8.5985 8.5985 Å, 118.40 100.33 100.33°
Closest atoms and distances in Å follow each position.
Positions (direct):
Ho: 0.3000 0.6040 0.6040  4 Ho 3.15-3.52, 2 Hg 3.26, 1 Er 3.27
Ho: 0.7000 0.3960 0.3960  4 Ho 3.15-3.52, 2 Hg 3.26, 1 Er 3.27
Ho: 0.1064 0.0913 0.3202  2 Hg 3.08-3.31, 2 Ho 3.38-3.40
Ho: 0.8936 0.6798 0.9087  2 Hg 3.08-3.31, 2 Ho 3.38-3.40
Ho: 0.5000 0.2242 0.7758  2 Hg 3.00, 1 Er 3.31
Hg: 0.0000 0.6932 0.3068  8 Ho 3.00-3.31
Ho: 0.8936 0.9087 0.6798  2 Hg 3.08-3.31, 2 Ho 3.38-3.40
Er: 0.5000 0.0000 0.0000  8 Ho 3.27-3.60
Ho: 0.5000 0.7758 0.2242  2 Hg 3.00, 1 Er 3.31
Ho: 0.1064 0.3202 0.0913  2 Hg 3.08-3.31, 2 Ho 3.38-3.40
Hg: 0.0000 0.3068 0.6932  8 Ho 3.00-3.31

---

[10]
The following is a DFT calculation (PBE) of an optimized crystal structure of YNiMo2.

Summary:
Space group = No. 99
ΔE_f = 0.12 eV per atom
E above lowest polymorph = 0.000 eV per atom

Cell: 3.2495 3.2495 6.6543 Å, 90.00 90.00 90.00°
Closest atoms and distances in Å follow each position.
Positions (direct):
Y: 0.5000 0.5000 0.7384  4 Ni 2.93, 5 Mo 3.08-3.26, 4 Y 3.25
Mo: 0.0000 0.0000 0.0478  4 Mo 2.66, 1 Ni 2.78
Ni: 0.0000 0.0000 0.4653  5 Mo 2.71-2.78, 4 Y 2.93
Mo: 0.5000 0.5000 0.2485  4 Mo 2.66, 4 Ni 2.71

---

[11]
The following is a DFT calculation (PBE) of an optimized crystal structure of In2WBr.

Summary:
Space group = No. 122
Formation energy from raw total energies = 1107.0 meV/atom
E above lowest polymorph = 0.747 eV per atom

Cell: 5.2797 5.2797 9.7620 Å, 74.31 74.31 90.00°
Closest atoms and distances in Å follow each position.
Positions (direct):
In: 0.3750 0.2993 0.7500  2 W 2.77
W: 0.0000 0.0000 0.0000  4 In 2.77
Br: 0.5000 0.5000 0.0000  4 In 3.13
In: 0.7007 0.1250 0.2500  2 W 2.77
Br: 0.2500 0.7500 0.5000  4 In 3.13
In: 0.8750 0.9507 0.7500  2 W 2.77
In: 0.0493 0.6250 0.2500  2 W 2.77
W: 0.7500 0.2500 0.5000  4 In 2.77

---

[12]
The following is a DFT calculation (PBE) of an optimized crystal structure of Pm3DyTh2.

Summary:
Space group = No. 11
ΔE_f = 0.04 eV per atom
E above lowest polymorph = 0.000 eV per atom

Cell: 3.6185 10.1752 10.8064 Å, 90.28 90.00 90.00°
Closest atoms and distances in Å follow each position.
Positions (direct):
Pm: 0.7500 0.6237 0.2502  7 Pm 3.55-3.67, 5 Th 3.58-3.69
Th: 0.7500 0.1168 0.9183  4 Th 3.48-3.62, 3 Dy 3.55-3.59, 5 Pm 3.56-3.69
Th: 0.2500 0.3790 0.4181  4 Th 3.53-3.62, 6 Pm 3.58-3.62, 2 Dy 3.63
Th: 0.7500 0.6210 0.5819  4 Th 3.53-3.62, 6 Pm 3.58-3.62, 2 Dy 3.63
Pm: 0.2500 0.3763 0.7498  7 Pm 3.55-3.67, 5 Th 3.58-3.69
Dy: 0.7500 0.1249 0.2502  5 Pm 3.53-3.66, 5 Th 3.55-3.63, 2 Dy 3.62
Th: 0.2500 0.8832 0.0817  4 Th 3.48-3.62, 3 Dy 3.55-3.59, 5 Pm 3.56-3.69
Pm: 0.7500 0.6368 0.9167  2 Dy 3.53, 3 Th 3.56-3.62, 7 Pm 3.61-3.78
Pm: 0.2500 0.8672 0.4166  6 Pm 3.55-3.71, 3 Th 3.58-3.62, 3 Dy 3.60-3.66
Dy: 0.2500 0.8751 0.7498  5 Pm 3.53-3.66, 5 Th 3.55-3.63, 2 Dy 3.62
Pm: 0.7500 0.1328 0.5834  6 Pm 3.55-3.71, 3 Th 3.58-3.62, 3 Dy 3.60-3.66
Pm: 0.2500 0.3632 0.0833  2 Dy 3.53, 3 Th 3.56-3.62, 7 Pm 3.61-3.78

---

[13]
The following is a DFT calculation (PBE) of an optimized crystal structure of RbLiCa2.

Summary:
Space group = No. 166
ΔE_f = 0.22 eV per atom

Cell: 4.0082 4.0082 13.3735 Å, 81.38 81.38 60.00°
Closest atoms and distances in Å follow each position.
Positions (direct):
Ca: 0.8970 0.8970 0.3090  3 Li 3.42
Rb: 0.0000 0.0000 0.0000  6 Rb 4.01, 2 Ca 4.07
Ca: 0.1030 0.1030 0.6910  3 Li 3.42
Li: 0.5000 0.5000 0.5000  6 Ca 3.42

---

[14]
The following is a DFT calculation (PBE) of an optimized crystal structure of Rh3W2.

Summary:
Space group = No. 166
ΔE_f = -0.08 eV per atom
E above lowest polymorph = 0.000 eV per atom

Cell: 11.2829 11.2829 11.2829 Å, 14.19 14.19 14.19°
Closest atoms and distances in Å follow each position.
Positions (direct):
Rh: 0.0000 0.0000 0.0000  6 W 2.78, 6 Rh 2.79
W: 0.5990 0.5990 0.5990  6 Rh 2.68-2.78, 6 W 2.79
W: 0.4010 0.4010 0.4010  6 Rh 2.68-2.78, 6 W 2.79
Rh: 0.7981 0.7981 0.7981  3 W 2.68, 9 Rh 2.79-2.86
Rh: 0.2019 0.2019 0.2019  3 W 2.68, 9 Rh 2.79-2.86